(1)
Mg3SbO6: relaxed, PBE-GGA.

## Properties
**ΔE_f (raw)**: -2.0618 eV/atom
**Magnetic moment**: 2.17 Bohr magnetons per cell
**Symmetry**: R-3
**E_tot**: -5.927 eV/atom

Unit cell a=6.1609 b=6.1609 c=6.1609 alpha=90.82 beta=90.82 gamma=90.82
Closest atoms and distances in Å follow each position.
Positions (direct):
Mg1 0.0532 0.5645 0.7519  6 O 2.05-2.29
Mg2 0.2481 0.9468 0.4355  6 O 2.05-2.29
Mg3 0.4355 0.2481 0.9468  6 O 2.05-2.29
Mg4 0.5645 0.7519 0.0532  6 O 2.05-2.29
Mg5 0.7519 0.0532 0.5645  6 O 2.05-2.29
Mg6 0.9468 0.4355 0.2481  6 O 2.05-2.29
Sb1 0.0000 0.0000 0.0000  6 O 2.00
Sb2 0.5000 0.5000 0.5000  6 O 2.00
O1 0.0423 0.9051 0.6927  1 Sb 2.00, 3 Mg 2.06-2.16
O2 0.0950 0.3073 0.9577  1 Sb 2.00, 3 Mg 2.06-2.16
O3 0.1936 0.5790 0.4284  1 Sb 2.00, 2 Mg 2.05-2.19
O4 0.3073 0.9577 0.0949  1 Sb 2.00, 3 Mg 2.06-2.16
O5 0.4210 0.5716 0.8064  1 Sb 2.00, 2 Mg 2.05-2.19
O6 0.4284 0.1936 0.5790  1 Sb 2.00, 2 Mg 2.05-2.19
O7 0.5716 0.8064 0.4210  1 Sb 2.00, 2 Mg 2.05-2.19
O8 0.5790 0.4284 0.1936  1 Sb 2.00, 2 Mg 2.05-2.19
O9 0.6927 0.0423 0.9050  1 Sb 2.00, 3 Mg 2.06-2.16
O10 0.8064 0.4210 0.5716  1 Sb 2.00, 2 Mg 2.05-2.19
O11 0.9051 0.6927 0.0423  1 Sb 2.00, 3 Mg 2.06-2.16
O12 0.9577 0.0950 0.3073  1 Sb 2.00, 3 Mg 2.06-2.16

---

(2)
Ru3RhN: relaxed, PBE-GGA.

## Properties
**ΔE_f (raw)**: 2.9825 eV/atom
**Magnetic moment**: 7.23 Bohr magnetons per cell
**Symmetry**: Pm-3m
**E_tot**: -5.718 eV/atom

Unit cell a=4.7238 b=4.7238 c=4.7238 alpha=90.00 beta=90.00 gamma=90.00
Closest atoms and distances in Å follow each position.
Positions (direct):
Ru1 0.0000 0.0000 0.5000  2 Rh 2.36
Ru2 0.0000 0.5000 0.0000  2 Rh 2.36
Ru3 0.5000 0.0000 0.0000  2 Rh 2.36
Rh1 0.0000 0.0000 0.0000  6 Ru 2.36
N1 0.5000 0.5000 0.5000  12 Ru 3.34

---

The highest E_tot belongs to which entry? Ru3RhN